Cr5P4O16 | PBE+U | optimized geometry

a = 5.311 Å, b = 7.433 Å, c = 9.376 Å
α = 76.87°, β = 87.62°, γ = 88.21°
Element x y z (fractional)
Cr: 0.000 0.000 0.000
Cr: 0.251 0.988 0.727
Cr: 0.259 0.364 0.721
Cr: 0.741 0.636 0.279
Cr: 0.749 0.012 0.273
P: 0.229 0.765 0.459
P: 0.439 0.564 0.874
P: 0.561 0.436 0.126
P: 0.771 0.235 0.541
O: 0.005 0.128 0.140
O: 0.005 0.212 0.642
O: 0.220 0.572 0.558
O: 0.234 0.919 0.538
O: 0.255 0.143 0.877
O: 0.302 0.530 0.043
O: 0.473 0.784 0.354
O: 0.478 0.768 0.808
O: 0.522 0.232 0.192
O: 0.527 0.216 0.646
O: 0.698 0.470 0.957
O: 0.745 0.857 0.123
O: 0.766 0.081 0.462
O: 0.780 0.428 0.442
O: 0.995 0.788 0.358
O: 0.995 0.872 0.860

Summary:
Energy ... -7.263 eV per atom
Space group ... P-1 (2)